(1)
Here is a relaxed structure of LiLaTmSc from Alexandria via LeMat-Bulk. Energies are from GGA-PBE.

## Properties
Energy relative to the elements, meV per atom: 157

a = 5.4221 Å, b = 5.4221 Å, c = 5.4221 Å
α = 60.00°, β = 60.00°, γ = 60.00°
Fractional coordinates of all 4 atoms:
1 Li 0.0000 0.0000 0.0000
2 La 0.2500 0.2500 0.2500
3 Tm 0.7500 0.7500 0.7500
4 Sc 0.5000 0.5000 0.5000

=====

(2)
Here is a relaxed structure of LiLaY2Sc from Alexandria via LeMat-Bulk. Energies are from GGA-PBE.

## Properties
Energy relative to the elements, meV per atom: 863

a = 5.6319 Å, b = 5.6319 Å, c = 4.9603 Å
α = 90.00°, β = 90.00°, γ = 90.00°
Fractional coordinates of all 5 atoms:
1 Li 0.0000 0.0000 0.0000
2 La 0.0000 0.0000 0.5000
3 Y 0.0000 0.5000 0.5000
4 Y 0.5000 0.0000 0.5000
5 Sc 0.5000 0.5000 0.0000

=====

(3)
Here is a relaxed structure of LiLaZr2Sc from Alexandria via LeMat-Bulk. Energies are from GGA-PBE.

## Properties
Energy relative to the elements, meV per atom: 1000

a = 5.2742 Å, b = 5.2742 Å, c = 4.8420 Å
α = 90.00°, β = 90.00°, γ = 90.00°
Fractional coordinates of all 5 atoms:
1 Li 0.0000 0.0000 0.0000
2 La 0.0000 0.0000 0.5000
3 Zr 0.0000 0.5000 0.5000
4 Zr 0.5000 0.0000 0.5000
5 Sc 0.5000 0.5000 0.0000

=====

(4)
Here is a relaxed structure of LiLa3Se4 from Alexandria via LeMat-Bulk. Energies are from GGA-PBE.

## Properties
Formation energy from raw total energies, eV/atom: -1.857

a = 7.3827 Å, b = 7.3827 Å, c = 4.2803 Å
α = 90.00°, β = 90.00°, γ = 109.59°
Fractional coordinates of all 8 atoms:
1 Li 0.0000 0.0000 0.0000
2 La 0.0000 0.5000 0.5000
3 La 0.5000 0.0000 0.5000
4 La 0.5000 0.5000 0.0000
5 Se 0.2410 0.2410 0.5000
6 Se 0.2432 0.7568 0.0000
7 Se 0.7568 0.2432 0.0000
8 Se 0.7590 0.7590 0.5000

=====

(5)
Here is a relaxed structure of LiLa2Se from Alexandria via LeMat-Bulk. Energies are from GGA-PBE.

## Properties
Formation energy from raw total energies, eV/atom: -0.537

a = 6.8757 Å, b = 6.8757 Å, c = 6.8757 Å
α = 104.45°, β = 104.45°, γ = 120.07°
Fractional coordinates of all 8 atoms:
1 Li 0.0000 0.0000 0.0000
2 Li 0.7500 0.2500 0.5000
3 La 0.1511 0.6250 0.0261
4 La 0.3750 0.4011 0.5261
5 La 0.5989 0.1250 0.9739
6 La 0.8750 0.8489 0.4739
7 Se 0.2500 0.7500 0.5000
8 Se 0.5000 0.5000 0.0000

=====

(6)
Here is a relaxed structure of Li2LaSe2 from Alexandria via LeMat-Bulk. Energies are from GGA-PBE.

## Properties
Formation energy from raw total energies, eV/atom: -1.170

a = 7.8888 Å, b = 7.8888 Å, c = 3.8225 Å
α = 90.00°, β = 90.00°, γ = 90.00°
Fractional coordinates of all 10 atoms:
1 Li 0.1317 0.3683 0.0000
2 Li 0.3683 0.8683 0.0000
3 Li 0.6317 0.1317 0.0000
4 Li 0.8683 0.6317 0.0000
5 La 0.0000 0.0000 0.5000
6 La 0.5000 0.5000 0.5000
7 Se 0.1684 0.6684 0.5000
8 Se 0.3316 0.1684 0.5000
9 Se 0.6684 0.8316 0.5000
10 Se 0.8316 0.3316 0.5000

=====

(7)
Here is a relaxed structure of LiLa2Se from Alexandria via LeMat-Bulk. Energies are from GGA-PBE.

## Properties
Formation energy from raw total energies, eV/atom: -0.194

a = 5.2323 Å, b = 5.2323 Å, c = 5.2323 Å
α = 60.00°, β = 60.00°, γ = 60.00°
Fractional coordinates of all 4 atoms:
1 Li 0.0000 0.0000 0.0000
2 La 0.2500 0.2500 0.2500
3 La 0.5000 0.5000 0.5000
4 Se 0.7500 0.7500 0.7500

=====

(8)
Here is a relaxed structure of LiLa2Se from Alexandria via LeMat-Bulk. Energies are from GGA-PBE.

## Properties
Formation energy from raw total energies, eV/atom: -0.721

a = 6.1866 Å, b = 6.1866 Å, c = 6.1866 Å
α = 144.38°, β = 131.54°, γ = 61.57°
Fractional coordinates of all 4 atoms:
1 Li 0.0000 0.0000 0.0000
2 La 0.4260 0.4260 0.0000
3 La 0.6981 0.1981 0.5000
4 Se 0.1714 0.6714 0.5000

=====

(9)
Here is a relaxed structure of LiLaSe from Alexandria via LeMat-Bulk. Energies are from GGA-PBE.

## Properties
Formation energy from raw total energies, eV/atom: -0.936

a = 4.8373 Å, b = 4.8373 Å, c = 4.8373 Å
α = 60.00°, β = 60.00°, γ = 60.00°
Fractional coordinates of all 3 atoms:
1 Li 0.0000 0.0000 0.0000
2 La 0.5000 0.5000 0.5000
3 Se 0.7500 0.7500 0.7500

=====

(10)
Here is a relaxed structure of LiLa2Se from Alexandria via LeMat-Bulk. Energies are from GGA-PBE.

## Properties
Formation energy from raw total energies, eV/atom: -0.624

a = 5.6051 Å, b = 5.6051 Å, c = 5.6051 Å
α = 128.12°, β = 128.12°, γ = 76.44°
Fractional coordinates of all 4 atoms:
1 Li 0.0000 0.0000 0.0000
2 La 0.2500 0.7500 0.5000
3 La 0.7500 0.2500 0.5000
4 Se 0.5000 0.5000 0.0000

=====

(11)
Here is a relaxed structure of LiLa2Se from Alexandria via LeMat-Bulk. Energies are from GGA-PBE.

## Properties
Formation energy from raw total energies, eV/atom: -0.751

a = 3.7505 Å, b = 5.2419 Å, c = 5.2969 Å
α = 90.00°, β = 90.00°, γ = 90.00°
Fractional coordinates of all 4 atoms:
1 Li 0.0000 0.0000 0.0000
2 La 0.5000 0.0000 0.5000
3 La 0.5000 0.5000 0.0000
4 Se 0.0000 0.5000 0.5000

=====

(12)
Here is a relaxed structure of LiLaSe3 from Alexandria via LeMat-Bulk. Energies are from GGA-PBE.

## Properties
Formation energy from raw total energies, eV/atom: -0.669

a = 5.7903 Å, b = 5.7903 Å, c = 5.7903 Å
α = 90.00°, β = 90.00°, γ = 90.00°
Fractional coordinates of all 5 atoms:
1 Li 0.0000 0.0000 0.0000
2 La 0.5000 0.5000 0.5000
3 Se 0.0000 0.5000 0.5000
4 Se 0.5000 0.0000 0.5000
5 Se 0.5000 0.5000 0.0000